The following is a GGA+U calculation of an optimized crystal structure of ZrTl2MoF, from the Alexandria database. Values from VASP.

Properties
**DOS at the Fermi energy**: 3.35 states/eV/f.u.
**Size of the total moment**: 4.354 μB/cell
**Uncorrected energy**: -22.61 eV/cell
**Space-group type**: P4/mmm

```
&SYSTEM
  ibrav = 0, nat = 5, ntyp = 4
/
ATOMIC_SPECIES
Mo 95.94 Mo.upf
Tl 204.38 Tl.upf
Zr 91.22 Zr.upf
F 19.00 F.upf
CELL_PARAMETERS angstrom
-4.537 -2.915 2.268
2.371 -3.318 0.478
1.493 1.837 5.349
ATOMIC_POSITIONS crystal
Mo 0.500 0.500 0.500
Tl 0.500 0.000 0.000
Tl 0.000 0.000 0.500
Zr 0.000 0.000 0.000
F 0.000 0.500 0.000
```